In3IrBr: optimized geometry, PBE.

abc: 5.259 8.247 6.310
angles: 90.00 107.05 90.00
Space group P2_1/m (No. 11)
Unique sites:
In  0.010  0.024  0.229 [4 per cell]
In  0.427  0.750  0.524 [2 per cell]
Ir  0.096  0.250  0.546 [2 per cell]
Br  0.467  0.250  0.951 [2 per cell]

Output
- E above lowest polymorph (meV per atom) = 210
- spin magnetization (μB per formula unit) = 0.000
- density of states at the Fermi level (states/eV/cell) = 2.37
- energy relative to the elements, uncorrected (eV per atom) = -0.167

***

KSbIr2: optimized geometry, PBE.

abc: 4.174 4.174 8.739
angles: 90.00 90.00 90.00
Space group I-4m2 (No. 119)
Unique sites:
K  0.000  0.000  0.000 [2 per cell]
Sb  0.000  0.500  0.750 [2 per cell]
Ir  0.000  0.000  0.500 [2 per cell]
Ir  0.000  0.500  0.250 [2 per cell]

Output
- spin magnetization (μB per formula unit) = 0.000
- density of states at the Fermi level (states/eV/cell) = 10.24
- energy relative to the elements, uncorrected (eV per atom) = 0.840

***

Dy3CuB2Pt9: optimized geometry, PBE.

abc: 5.7029 5.7029 9.2317
angles: 90.00 90.00 120.00
Space group P-3m1 (No. 164)
Unique sites:
Dy  0.0000  0.0000  0.0000 [1 per cell]
Dy  0.3333  0.6667  0.5968 [2 per cell]
Cu  0.0000  0.0000  0.5000 [1 per cell]
B  0.3333  0.6667  0.1516 [2 per cell]
Pt  0.0000  0.5000  0.0000 [3 per cell]
Pt  0.1642  0.3284  0.2890 [6 per cell]

Output
- spin magnetization (μB per formula unit) = 0.000
- density of states at the Fermi level (states/eV/cell) = 5.03
- calculated formation energy (eV/atom) = -0.8103

***

PrNdCdAu: optimized geometry, PBE.

abc: 7.595 7.595 7.595
angles: 90.00 90.00 90.00
Space group F-43m (No. 216)
Unique sites:
Pr  0.000  0.000  0.000 [4 per cell]
Nd  0.000  0.000  0.500 [4 per cell]
Cd  0.250  0.250  0.250 [4 per cell]
Au  0.250  0.250  0.750 [4 per cell]

Output
- E above lowest polymorph (meV per atom) = 32
- spin magnetization (μB per formula unit) = 0.163
- density of states at the Fermi level (states/eV/cell) = 14.50
- calculated formation energy (eV/atom) = -0.5018